Dy5Tl3 | PBE | optimized geometry

Output
E   -4.0452 eV/atom

Cell: 8.0713 8.0713 14.1606 Å, 90.00 90.00 90.00°
Closest atoms and distances in Å follow each position.
Space group I4/mcm (No. 140)
Unique sites:
1 Dy 0.0000 0.0000 0.0000  4 Tl 3.13
2 Dy 0.1594 0.3406 0.1526  5 Tl 3.18-3.33, 1 Dy 3.45
3 Tl 0.0000 0.0000 0.2500  10 Dy 3.33-3.54
4 Tl 0.1364 0.3636 0.5000  1 Tl 3.11, 8 Dy 3.13-3.23

NbCuTe2 | PBE | optimized geometry

Output
E   -4.3879 eV/atom

Cell: 6.9758 6.9758 6.9758 Å, 90.00 90.00 90.00°
Closest atoms and distances in Å follow each position.
Space group F-43m (No. 216)
Unique sites:
1 Nb 0.0000 0.0000 0.0000  4 Te 3.02, 4 Cu 3.02
2 Cu 0.2500 0.2500 0.2500  4 Nb 3.02, 4 Te 3.02
3 Te 0.0000 0.0000 0.5000  4 Cu 3.02, 4 Te 3.02
4 Te 0.2500 0.2500 0.7500  4 Nb 3.02, 4 Te 3.02

Hf4SnB3 | PBE | optimized geometry

Output
E   -8.4949 eV/atom

Cell: 3.4197 3.4197 26.0751 Å, 90.00 90.00 120.00°
Closest atoms and distances in Å follow each position.
Space group P6_3/mmc (No. 194)
Unique sites:
1 Hf 0.0000 0.0000 0.1556  3 B 2.32
2 Hf 0.3333 0.6667 0.0551  6 B 2.42-2.44
3 Sn 0.3333 0.6667 0.2500  6 Hf 3.15, 6 Sn 3.42
4 B 0.0000 0.0000 0.0000  6 Hf 2.44
5 B 0.3333 0.6667 0.6088  6 Hf 2.32-2.42

K2SrNiH6 | PBE | optimized geometry

Output
E   -3.0785 eV/atom

Cell: 8.1819 8.1819 8.1819 Å, 90.00 90.00 90.00°
Closest atoms and distances in Å follow each position.
Space group Fm-3m (No. 225)
Unique sites:
1 K 0.2500 0.2500 0.2500  12 H 2.91
2 Sr 0.0000 0.0000 0.0000  6 H 2.40
3 Ni 0.0000 0.0000 0.5000  6 H 1.69
4 H 0.0000 0.0000 0.2935  1 Ni 1.69

KGdBr3 | PBE | optimized geometry

Output
E   -3.7673 eV/atom

Cell: 3.8157 15.3859 10.8895 Å, 90.00 90.00 90.00°
Closest atoms and distances in Å follow each position.
Space group Cmcm (No. 63)
Unique sites:
1 K 0.0000 0.2416 0.2500  8 Br 3.34-3.70
2 Gd 0.0000 0.5000 0.0000  6 Br 2.89-2.95
3 Br 0.0000 0.1404 0.5586  2 Gd 2.95
4 Br 0.0000 0.4368 0.7500  2 Gd 2.89

YTlZn | PBE | optimized geometry

Output
E   -3.2427 eV/atom

Cell: 6.9878 6.9878 6.9878 Å, 90.00 90.00 90.00°
Closest atoms and distances in Å follow each position.
Space group F-43m (No. 216)
Unique sites:
1 Y 0.0000 0.0000 0.0000  4 Tl 3.03, 4 Zn 3.03
2 Tl 0.2500 0.2500 0.7500  4 Y 3.03
3 Zn 0.2500 0.2500 0.2500  4 Y 3.03

Number 1: spin magnetization 0.03 μB/cell. Number 2: spin magnetization 5.04 μB/cell. Number 3: spin magnetization 0.01 μB/cell. Number 4: spin magnetization 7.01 μB/cell. Number 5: spin magnetization 0.03 μB/cell. Number 6: spin magnetization 0.01 μB/cell.